DFT (PBE-GGA) results for Ac4Tl3Pb2 after structural relaxation.

a = 9.194 Å, b = 9.194 Å, c = 10.456 Å
α = 90.00°, β = 90.00°, γ = 128.89°
Atoms (fractional coordinates):
Ac: 0.197 0.803 0.986
Ac: 0.212 0.288 0.750
Ac: 0.288 0.212 0.250
Ac: 0.303 0.697 0.486
Ac: 0.697 0.303 0.514
Ac: 0.712 0.788 0.750
Ac: 0.788 0.712 0.250
Ac: 0.803 0.197 0.014
Tl: 0.000 0.000 0.000
Tl: 0.003 0.497 0.750
Tl: 0.497 0.003 0.250
Tl: 0.500 0.500 0.500
Tl: 0.503 0.997 0.750
Tl: 0.997 0.503 0.250
Pb: 0.110 0.890 0.600
Pb: 0.390 0.610 0.100
Pb: 0.610 0.390 0.900
Pb: 0.890 0.110 0.400

Computed properties:
- electronic total energy (eV per atom) = -3.66
- formation energy (meV per atom) = -225.7

=====

DFT (PBE-GGA) results for AcTlPb after structural relaxation.

a = 5.897 Å, b = 5.897 Å, c = 5.897 Å
α = 133.22°, β = 133.22°, γ = 68.31°
Atoms (fractional coordinates):
Ac: 0.000 0.000 0.000
Tl: 0.335 0.335 0.000
Pb: 0.656 0.656 0.000

Computed properties:
- energy above the lowest structure with this stoichiometry (eV per atom) = 0.154
- electronic total energy (eV per atom) = -3.62
- formation energy (meV per atom) = -228.9

=====

DFT (PBE-GGA) results for Ac12TlPb7 after structural relaxation.

a = 9.910 Å, b = 9.910 Å, c = 9.910 Å
α = 107.88°, β = 107.88°, γ = 107.88°
Atoms (fractional coordinates):
Ac: 0.120 0.827 0.290
Ac: 0.160 0.256 0.473
Ac: 0.173 0.710 0.880
Ac: 0.256 0.473 0.160
Ac: 0.290 0.120 0.827
Ac: 0.473 0.160 0.256
Ac: 0.527 0.840 0.744
Ac: 0.710 0.880 0.173
Ac: 0.744 0.527 0.840
Ac: 0.827 0.290 0.120
Ac: 0.840 0.744 0.527
Ac: 0.880 0.173 0.710
Tl: 0.500 0.500 0.500
Pb: 0.000 0.000 0.000
Pb: 0.141 0.603 0.483
Pb: 0.397 0.517 0.859
Pb: 0.483 0.141 0.603
Pb: 0.517 0.859 0.397
Pb: 0.603 0.483 0.141
Pb: 0.859 0.397 0.517

Computed properties:
- electronic total energy (eV per atom) = -4.20
- formation energy (meV per atom) = -317.2

=====

DFT (PBE-GGA) results for Ac2TlPb2 after structural relaxation.

a = 5.789 Å, b = 5.789 Å, c = 6.907 Å
α = 90.00°, β = 90.00°, γ = 120.00°
Atoms (fractional coordinates):
Ac: 0.333 0.667 0.236
Ac: 0.667 0.333 0.764
Tl: 0.000 0.000 0.000
Pb: 0.333 0.667 0.727
Pb: 0.667 0.333 0.273

Computed properties:
- energy above the lowest structure with this stoichiometry (eV per atom) = 0.169
- electronic total energy (eV per atom) = -3.90
- formation energy (meV per atom) = -295.5

=====

DFT (PBE-GGA) results for AcTlPb2 after structural relaxation.

a = 6.225 Å, b = 6.225 Å, c = 6.225 Å
α = 51.39°, β = 51.39°, γ = 51.39°
Atoms (fractional coordinates):
Ac: 0.000 0.000 0.000
Tl: 0.500 0.500 0.500
Pb: 0.227 0.227 0.227
Pb: 0.773 0.773 0.773

Computed properties:
- energy above the lowest structure with this stoichiometry (eV per atom) = 0.212
- electronic total energy (eV per atom) = -3.65
- formation energy (meV per atom) = -179.6

=====

DFT (PBE-GGA) results for AcTl2Pb3 after structural relaxation.

a = 6.677 Å, b = 6.677 Å, c = 9.576 Å
α = 90.13°, β = 90.13°, γ = 116.14°
Atoms (fractional coordinates):
Ac: 0.124 0.876 0.750
Ac: 0.876 0.124 0.250
Tl: 0.048 0.327 0.903
Tl: 0.327 0.048 0.403
Tl: 0.673 0.952 0.597
Tl: 0.952 0.673 0.097
Pb: 0.191 0.425 0.572
Pb: 0.395 0.605 0.250
Pb: 0.425 0.191 0.072
Pb: 0.575 0.809 0.928
Pb: 0.605 0.395 0.750
Pb: 0.809 0.575 0.428

Computed properties:
- electronic total energy (eV per atom) = -3.51
- formation energy (meV per atom) = -185.5

=====

DFT (PBE-GGA) results for Ac8TlPb5 after structural relaxation.

a = 8.917 Å, b = 8.917 Å, c = 8.917 Å
α = 109.57°, β = 109.57°, γ = 109.27°
Atoms (fractional coordinates):
Ac: 0.014 0.128 0.752
Ac: 0.239 0.486 0.611
Ac: 0.372 0.761 0.247
Ac: 0.376 0.262 0.248
Ac: 0.514 0.125 0.753
Ac: 0.738 0.986 0.114
Ac: 0.872 0.624 0.886
Ac: 0.875 0.628 0.389
Tl: 0.750 0.250 0.500
Pb: 0.128 0.001 0.376
Pb: 0.249 0.872 0.873
Pb: 0.500 0.500 0.000
Pb: 0.624 0.751 0.624
Pb: 0.999 0.376 0.127

Computed properties:
- electronic total energy (eV per atom) = -4.34
- formation energy (meV per atom) = -502.8

=====

DFT (PBE-GGA) results for Ac2TlPb4 after structural relaxation.

a = 11.778 Å, b = 11.778 Å, c = 11.778 Å
α = 157.05°, β = 157.05°, γ = 32.68°
Atoms (fractional coordinates):
Ac: 0.092 0.092 0.000
Ac: 0.908 0.908 0.000
Tl: 0.500 0.500 0.000
Pb: 0.250 0.750 0.500
Pb: 0.360 0.360 0.000
Pb: 0.640 0.640 0.000
Pb: 0.750 0.250 0.500

Computed properties:
- energy above the lowest structure with this stoichiometry (eV per atom) = 0.133
- electronic total energy (eV per atom) = -3.83
- formation energy (meV per atom) = -202.6